Li2ScRu, relaxed, DFT GGA-PBE; calculated volume = 63.3 Å³/cell; total magnetization = 0.00 μB/f.u.; electronic total energy = -4.846 eV/atom; polymorph energy (0 for the lowest one) = 0.32 eV/f.u.; SG = I-4m2
1.0
-4.186 -0.559 -1.484
0.806 -4.350 -0.679
0.732 1.818 4.024
Li Ru Sc
2 1 1
Direct
0.000 0.000 0.000
0.250 0.750 0.500
0.500 0.500 0.000
0.750 0.250 0.500